A relaxed structure of YPaNiO6, computed with PBE with a Hubbard U.

Values from the calculation:
total DFT energy (no corrections): -7.706 eV per atom

Cell and atoms, written as POSCAR:
```
YPaNiO6
1.0
5.378 0.000 0.000
-2.689 4.657 0.000
0.000 0.000 4.800
Y Pa Ni O
1 1 1 6
direct
0.000 0.000 0.000
0.333 0.667 0.500
0.667 0.333 0.000
0.368 0.014 0.238
0.368 0.354 0.762
0.646 0.014 0.762
0.646 0.632 0.238
0.986 0.354 0.238
0.986 0.632 0.762
```